Entry 1:
Material: ZnReO3
Method: DFT, PBE
State: relaxed

Cell lengths 3.875, 3.875, 3.860 Å; angles 90.00, 90.00, 90.00 degrees
Element x y z (fractional)
Zn: 0.000 0.000 0.000
Re: 0.500 0.500 0.562
O: 0.000 0.500 0.575
O: 0.500 0.000 0.575
O: 0.500 0.500 0.065

## Properties
Volume (A^3/atom): 11.591
E_tot (eV per atom): -6.6415
Total moment (μB/f.u.): 0.00


Entry 2:
Material: ZnReO3
Method: DFT, PBE
State: relaxed

Cell lengths 5.854, 5.854, 5.854 Å; angles 48.92, 48.92, 48.92 degrees
Element x y z (fractional)
Zn: 0.151 0.151 0.151
Zn: 0.849 0.849 0.849
Re: 0.339 0.339 0.339
Re: 0.661 0.661 0.661
O: 0.071 0.748 0.427
O: 0.252 0.573 0.929
O: 0.427 0.071 0.748
O: 0.573 0.929 0.252
O: 0.748 0.427 0.071
O: 0.929 0.252 0.573

## Properties
Volume (A^3/atom): 10.466
E_tot (eV per atom): -6.9637
Total moment (μB/f.u.): 0.00


Entry 3:
Material: ZnReO3
Method: DFT, PBE
State: relaxed

Cell lengths 5.145, 7.500, 5.362 Å; angles 90.00, 90.00, 90.00 degrees
Element x y z (fractional)
Zn: 0.051 0.250 0.005
Zn: 0.449 0.750 0.505
Zn: 0.551 0.250 0.495
Zn: 0.949 0.750 0.995
Re: 0.000 0.000 0.500
Re: 0.000 0.500 0.500
Re: 0.500 0.000 0.000
Re: 0.500 0.500 0.000
O: 0.018 0.750 0.365
O: 0.176 0.567 0.818
O: 0.176 0.933 0.818
O: 0.324 0.067 0.318
O: 0.324 0.433 0.318
O: 0.482 0.250 0.865
O: 0.518 0.750 0.135
O: 0.676 0.567 0.682
O: 0.676 0.933 0.682
O: 0.824 0.067 0.182
O: 0.824 0.433 0.182
O: 0.982 0.250 0.635

## Properties
Volume (A^3/atom): 10.344
E_tot (eV per atom): -6.8439
Total moment (μB/f.u.): 0.76